No. 1
DFT (GGA-PBE) results for a geometry-optimized Sr2LiTaN3F structure.

Crystal system: orthorhombic
Spin magnetization, Bohr magnetons per cell: 0.0
Formation energy without anion corrections, eV per atom: -1.6198
VASP energy, eV per atom: -7.12

abc: 5.7035 15.9960 10.8031
angles: 90.00 90.00 90.00
Space group Pbca (No. 61)
Symmetry-distinct sites (fractional):
1 Sr 0.2019 0.0855 0.0496 (multiplicity 8)
2 Sr 0.2205 0.2156 0.3699 (multiplicity 8)
3 Li 0.2037 0.0216 0.3346 (multiplicity 8)
4 Ta 0.1629 0.1340 0.6557 (multiplicity 8)
5 N 0.1774 0.6114 0.8197 (multiplicity 8)
6 N 0.1867 0.2489 0.1176 (multiplicity 8)
7 N 0.2471 0.5753 0.5067 (multiplicity 8)
8 F 0.0466 0.5827 0.2442 (multiplicity 8)


No. 2
DFT (GGA-PBE) results for a geometry-optimized LiTaNF2 structure.

Crystal system: tetragonal
Spin magnetization, Bohr magnetons per cell: 0.0
Formation energy without anion corrections, eV per atom: -1.2342
VASP energy, eV per atom: -6.40

abc: 3.2418 3.2418 4.4701
angles: 90.00 90.00 90.00
Space group P4/mmm (No. 123)
Symmetry-distinct sites (fractional):
1 Li 0.0000 0.0000 0.0000 (multiplicity 1)
2 Ta 0.5000 0.5000 0.5000 (multiplicity 1)
3 N 0.0000 0.0000 0.5000 (multiplicity 1)
4 F 0.0000 0.5000 0.0000 (multiplicity 2)


No. 3
DFT (GGA-PBE) results for a geometry-optimized LiTaNF2 structure.

Crystal system: tetragonal
Spin magnetization, Bohr magnetons per cell: 0.0
Formation energy without anion corrections, eV per atom: -1.5965
VASP energy, eV per atom: -6.76

abc: 4.1552 4.1552 4.0172
angles: 90.00 90.00 90.00
Space group P4/mmm (No. 123)
Symmetry-distinct sites (fractional):
1 Li 0.0000 0.0000 0.0000 (multiplicity 1)
2 Ta 0.5000 0.5000 0.5000 (multiplicity 1)
3 N 0.5000 0.5000 0.0000 (multiplicity 1)
4 F 0.0000 0.5000 0.5000 (multiplicity 2)


No. 4
DFT (GGA-PBE) results for a geometry-optimized LiTaN2F structure.

Crystal system: tetragonal
Spin magnetization, Bohr magnetons per cell: 0.5
Formation energy without anion corrections, eV per atom: -0.0455
VASP energy, eV per atom: -6.50

abc: 3.6697 3.6697 3.2126
angles: 90.00 90.00 90.00
Space group P4/mmm (No. 123)
Symmetry-distinct sites (fractional):
1 Li 0.0000 0.0000 0.0000 (multiplicity 1)
2 Ta 0.5000 0.5000 0.5000 (multiplicity 1)
3 N 0.0000 0.5000 0.0000 (multiplicity 2)
4 F 0.0000 0.0000 0.5000 (multiplicity 1)


No. 5
DFT (GGA-PBE) results for a geometry-optimized LiTaN2F structure.

Crystal system: tetragonal
Spin magnetization, Bohr magnetons per cell: 0.4
Formation energy without anion corrections, eV per atom: -0.9854
VASP energy, eV per atom: -7.44

abc: 4.0317 4.0317 4.1278
angles: 90.00 90.00 90.00
Space group P4/mmm (No. 123)
Symmetry-distinct sites (fractional):
1 Li 0.0000 0.0000 0.0000 (multiplicity 1)
2 Ta 0.5000 0.5000 0.5000 (multiplicity 1)
3 N 0.0000 0.5000 0.5000 (multiplicity 2)
4 F 0.5000 0.5000 0.0000 (multiplicity 1)


No. 6
DFT (GGA-PBE) results for a geometry-optimized LiTcN2F structure.

Crystal system: tetragonal
Spin magnetization, Bohr magnetons per cell: 0.0
Formation energy without anion corrections, eV per atom: 0.9004
VASP energy, eV per atom: -5.26

abc: 3.7395 3.7395 3.1468
angles: 90.00 90.00 90.00
Space group P4/mmm (No. 123)
Symmetry-distinct sites (fractional):
1 Li 0.0000 0.0000 0.0000 (multiplicity 1)
2 Tc 0.5000 0.5000 0.5000 (multiplicity 1)
3 N 0.0000 0.5000 0.0000 (multiplicity 2)
4 F 0.0000 0.0000 0.5000 (multiplicity 1)


No. 7
DFT (GGA-PBE) results for a geometry-optimized LiTcNF2 structure.

Crystal system: tetragonal
Spin magnetization, Bohr magnetons per cell: 2.7
Formation energy without anion corrections, eV per atom: -0.5077
VASP energy, eV per atom: -5.38

abc: 3.3332 3.3332 4.4319
angles: 90.00 90.00 90.00
Space group P4/mmm (No. 123)
Symmetry-distinct sites (fractional):
1 Li 0.0000 0.0000 0.0000 (multiplicity 1)
2 Tc 0.5000 0.5000 0.5000 (multiplicity 1)
3 N 0.0000 0.0000 0.5000 (multiplicity 1)
4 F 0.0000 0.5000 0.0000 (multiplicity 2)


No. 8
DFT (GGA-PBE) results for a geometry-optimized LiTcN2F structure.

Crystal system: tetragonal
Spin magnetization, Bohr magnetons per cell: 0.0
Formation energy without anion corrections, eV per atom: -0.3885
VASP energy, eV per atom: -6.55

abc: 3.8325 3.8325 4.2313
angles: 90.00 90.00 90.00
Space group P4/mmm (No. 123)
Symmetry-distinct sites (fractional):
1 Li 0.0000 0.0000 0.0000 (multiplicity 1)
2 Tc 0.5000 0.5000 0.5000 (multiplicity 1)
3 N 0.0000 0.5000 0.5000 (multiplicity 2)
4 F 0.5000 0.5000 0.0000 (multiplicity 1)


No. 9
DFT (GGA-PBE) results for a geometry-optimized LiTcNF2 structure.

Crystal system: tetragonal
Spin magnetization, Bohr magnetons per cell: 0.8
Formation energy without anion corrections, eV per atom: -1.0623
VASP energy, eV per atom: -5.93

abc: 4.2025 4.2025 3.7876
angles: 90.00 90.00 90.00
Space group P4/mmm (No. 123)
Symmetry-distinct sites (fractional):
1 Li 0.0000 0.0000 0.0000 (multiplicity 1)
2 Tc 0.5000 0.5000 0.5000 (multiplicity 1)
3 N 0.5000 0.5000 0.0000 (multiplicity 1)
4 F 0.0000 0.5000 0.5000 (multiplicity 2)


No. 10
DFT (GGA-PBE) results for a geometry-optimized LiTeNF2 structure.

Crystal system: tetragonal
Spin magnetization, Bohr magnetons per cell: 0.0
Formation energy without anion corrections, eV per atom: -0.7429
VASP energy, eV per atom: -4.17

abc: 4.6306 4.6306 4.0845
angles: 90.00 90.00 90.00
Space group P4/mmm (No. 123)
Symmetry-distinct sites (fractional):
1 Li 0.0000 0.0000 0.0000 (multiplicity 1)
2 Te 0.5000 0.5000 0.5000 (multiplicity 1)
3 N 0.5000 0.5000 0.0000 (multiplicity 1)
4 F 0.0000 0.5000 0.5000 (multiplicity 2)


No. 11
DFT (GGA-PBE) results for a geometry-optimized LiTeNF2 structure.

Crystal system: tetragonal
Spin magnetization, Bohr magnetons per cell: 0.0
Formation energy without anion corrections, eV per atom: -0.6965
VASP energy, eV per atom: -4.12

abc: 3.4833 3.4833 4.4765
angles: 90.00 90.00 90.00
Space group P4/mmm (No. 123)
Symmetry-distinct sites (fractional):
1 Li 0.0000 0.0000 0.0000 (multiplicity 1)
2 Te 0.5000 0.5000 0.5000 (multiplicity 1)
3 N 0.0000 0.0000 0.5000 (multiplicity 1)
4 F 0.0000 0.5000 0.0000 (multiplicity 2)


No. 12
DFT (GGA-PBE) results for a geometry-optimized LiTiN2F structure.

Crystal system: tetragonal
Spin magnetization, Bohr magnetons per cell: 0.0
Formation energy without anion corrections, eV per atom: -0.0348
VASP energy, eV per atom: -5.70

abc: 3.5991 3.5991 3.3720
angles: 90.00 90.00 90.00
Space group P4/mmm (No. 123)
Symmetry-distinct sites (fractional):
1 Li 0.0000 0.0000 0.0000 (multiplicity 1)
2 Ti 0.5000 0.5000 0.5000 (multiplicity 1)
3 N 0.0000 0.5000 0.0000 (multiplicity 2)
4 F 0.0000 0.0000 0.5000 (multiplicity 1)


No. 13
DFT (GGA-PBE) results for a geometry-optimized LiTiN2F structure.

Crystal system: tetragonal
Spin magnetization, Bohr magnetons per cell: 0.0
Formation energy without anion corrections, eV per atom: -0.8556
VASP energy, eV per atom: -6.52

abc: 3.8811 3.8811 4.0995
angles: 90.00 90.00 90.00
Space group P4/mmm (No. 123)
Symmetry-distinct sites (fractional):
1 Li 0.0000 0.0000 0.0000 (multiplicity 1)
2 Ti 0.5000 0.5000 0.5000 (multiplicity 1)
3 N 0.0000 0.5000 0.5000 (multiplicity 2)
4 F 0.5000 0.5000 0.0000 (multiplicity 1)


No. 14
DFT (GGA-PBE) results for a geometry-optimized LiTlNF2 structure.

Crystal system: tetragonal
Spin magnetization, Bohr magnetons per cell: 1.0
Formation energy without anion corrections, eV per atom: -0.6025
VASP energy, eV per atom: -3.87

abc: 4.6780 4.6780 4.0984
angles: 90.00 90.00 90.00
Space group P4/mmm (No. 123)
Symmetry-distinct sites (fractional):
1 Li 0.0000 0.0000 0.0000 (multiplicity 1)
2 Tl 0.5000 0.5000 0.5000 (multiplicity 1)
3 N 0.5000 0.5000 0.0000 (multiplicity 1)
4 F 0.0000 0.5000 0.5000 (multiplicity 2)


No. 15
DFT (GGA-PBE) results for a geometry-optimized LiTlNF2 structure.

Crystal system: tetragonal
Spin magnetization, Bohr magnetons per cell: 1.3
Formation energy without anion corrections, eV per atom: -0.7696
VASP energy, eV per atom: -4.04

abc: 3.6499 3.6499 4.4210
angles: 90.00 90.00 90.00
Space group P4/mmm (No. 123)
Symmetry-distinct sites (fractional):
1 Li 0.0000 0.0000 0.0000 (multiplicity 1)
2 Tl 0.5000 0.5000 0.5000 (multiplicity 1)
3 N 0.0000 0.0000 0.5000 (multiplicity 1)
4 F 0.0000 0.5000 0.0000 (multiplicity 2)


No. 16
DFT (GGA-PBE) results for a geometry-optimized LiTlN2F structure.

Crystal system: tetragonal
Spin magnetization, Bohr magnetons per cell: 2.5
Formation energy without anion corrections, eV per atom: 0.7498
VASP energy, eV per atom: -3.81

abc: 4.3322 4.3322 4.7207
angles: 90.00 90.00 90.00
Space group P4/mmm (No. 123)
Symmetry-distinct sites (fractional):
1 Li 0.0000 0.0000 0.0000 (multiplicity 1)
2 Tl 0.5000 0.5000 0.5000 (multiplicity 1)
3 N 0.0000 0.5000 0.5000 (multiplicity 2)
4 F 0.5000 0.5000 0.0000 (multiplicity 1)


No. 17
DFT (GGA-PBE) results for a geometry-optimized LiTlN2F structure.

Crystal system: tetragonal
Spin magnetization, Bohr magnetons per cell: 3.6
Formation energy without anion corrections, eV per atom: 0.6918
VASP energy, eV per atom: -3.87

abc: 4.1930 4.1930 3.6014
angles: 90.00 90.00 90.00
Space group P4/mmm (No. 123)
Symmetry-distinct sites (fractional):
1 Li 0.0000 0.0000 0.0000 (multiplicity 1)
2 Tl 0.5000 0.5000 0.5000 (multiplicity 1)
3 N 0.0000 0.5000 0.0000 (multiplicity 2)
4 F 0.0000 0.0000 0.5000 (multiplicity 1)